The following is a DFT calculation (PBE) of a relaxed structure of CoAsHRh2.

POSCAR file:
```
CoAsHRh2
1.0
3.8954 0.0000 0.0000
0.0000 3.8954 0.0000
0.0000 0.0000 3.7020
Co As Rh H
1 1 2 1
Cartesian
0.0000 0.0000 1.8510
1.9477 1.9477 1.8510
0.0000 1.9477 0.0000
1.9477 0.0000 0.0000
0.0000 0.0000 0.0000
```

Results
E = -6.0382 eV/atom
Density = 10.1 Mg/m³